Material: VReNO2
Method: DFT, GGA+U
State: relaxed

Calculated values
* total magnetization: 0.75 μB/f.u.
* DFT total energy: -7.828 eV per atom

a b c (Å): 3.8802 3.8802 3.9256
angles (deg): 90.00 90.00 90.00
With the nearest neighbours (Å) after each atom.
Fractional positions:
Re1 0.0000 0.0000 0.0000  4 O 1.94, 2 N 1.96
N1 0.0000 0.0000 0.5000  2 Re 1.96
O1 0.0000 0.5000 0.0000  2 Re 1.94
O2 0.5000 0.0000 0.0000  2 Re 1.94
V1 0.5000 0.5000 0.5000  4 N 2.74, 8 O 2.76